No. 1
LaPm3Sm4Te8: optimized geometry, PBE.

a = 8.954 Å, b = 8.932 Å, c = 8.949 Å
α = 120.02°, β = 120.02°, γ = 90.00°
Atoms (fractional coordinates):
La 0.000 0.500 0.000
Pm 0.500 0.500 0.000
Pm 0.500 0.500 0.500
Pm 0.000 0.500 0.500
Sm 0.500 0.000 0.000
Sm 0.500 0.000 0.500
Sm 0.000 0.000 0.000
Sm 0.000 0.000 0.500
Te 0.253 0.754 0.001
Te 0.253 0.754 0.506
Te 0.249 0.248 0.499
Te 0.748 0.754 0.001
Te 0.252 0.246 0.999
Te 0.751 0.752 0.501
Te 0.747 0.246 0.494
Te 0.747 0.246 0.999

Values from the calculation:
Formation energy (no corrections) (eV/atom): -1.415
Spin magnetization (μB/f.u.): 0.00
V (Å³/atom): 31.6

No. 2
LaPm3Sm3Te8: optimized geometry, PBE.

a = 8.896 Å, b = 8.895 Å, c = 8.895 Å
α = 120.00°, β = 90.00°, γ = 120.00°
Atoms (fractional coordinates):
La 0.000 0.000 0.500
Pm 0.000 0.000 0.000
Pm 0.000 0.500 0.000
Pm 0.500 0.500 0.000
Sm 0.500 0.000 0.500
Sm 0.500 0.500 0.500
Sm 0.000 0.500 0.500
Te 0.251 0.501 0.252
Te 0.749 0.499 0.748
Te 0.740 0.480 0.241
Te 0.260 0.520 0.759
Te 0.740 0.001 0.241
Te 0.260 0.999 0.759
Te 0.261 0.001 0.241
Te 0.739 0.999 0.759

Values from the calculation:
Formation energy (no corrections) (eV/atom): -1.458
Spin magnetization (μB/f.u.): 0.00
V (Å³/atom): 33.2

No. 3
LaPmSmTe3: optimized geometry, PBE.

a = 4.414 Å, b = 8.707 Å, c = 11.009 Å
α = 105.13°, β = 90.00°, γ = 90.00°
Atoms (fractional coordinates):
La 0.250 0.189 0.216
La 0.750 0.811 0.784
Pm 0.250 0.662 0.093
Pm 0.750 0.338 0.907
Sm 0.250 0.157 0.620
Sm 0.750 0.843 0.380
Te 0.750 0.916 0.109
Te 0.250 0.084 0.891
Te 0.250 0.777 0.554
Te 0.750 0.223 0.446
Te 0.750 0.478 0.205
Te 0.250 0.522 0.795

Values from the calculation:
Formation energy (no corrections) (eV/atom): -1.329
Spin magnetization (μB/f.u.): 0.39
V (Å³/atom): 34.0

No. 4
La2PmSm6Th3: optimized geometry, PBE.

a = 6.302 Å, b = 6.302 Å, c = 11.996 Å
α = 95.02°, β = 95.02°, γ = 120.02°
Atoms (fractional coordinates):
La 0.333 0.667 0.000
La 0.667 0.333 0.000
Pm 0.000 0.000 0.000
Sm 0.914 0.581 0.742
Sm 0.754 0.754 0.258
Sm 0.086 0.419 0.258
Sm 0.581 0.914 0.742
Sm 0.246 0.246 0.742
Sm 0.419 0.086 0.258
Th 0.167 0.833 0.500
Th 0.833 0.167 0.500
Th 0.500 0.500 0.500

Values from the calculation:
Spin magnetization (μB/f.u.): 0.00
V (Å³/atom): 33.8
Energy of formation from the pure elements (meV per atom): 26.3

No. 5
La2Pm4Sm2Th: optimized geometry, PBE.

a = 3.681 Å, b = 9.778 Å, c = 9.787 Å
α = 115.33°, β = 90.00°, γ = 100.85°
Atoms (fractional coordinates):
La 0.337 0.675 0.000
La 0.663 0.325 0.000
Pm 0.816 0.633 0.668
Pm 0.184 0.367 0.332
Pm 0.517 0.035 0.326
Pm 0.483 0.965 0.674
Sm 0.852 0.705 0.335
Sm 0.148 0.295 0.665
Th 0.000 0.000 0.000

Values from the calculation:
Spin magnetization (μB/f.u.): 0.00
V (Å³/atom): 34.6
Energy of formation from the pure elements (meV per atom): 11.8

No. 6
LaPmSm2Th: optimized geometry, PBE.

a = 6.543 Å, b = 8.694 Å, c = 6.469 Å
α = 100.53°, β = 90.00°, γ = 90.00°
Atoms (fractional coordinates):
La 0.000 0.000 0.000
La 0.000 0.000 0.500
Pm 0.165 0.500 0.750
Pm 0.835 0.500 0.250
Sm 0.676 0.686 0.812
Sm 0.676 0.314 0.688
Sm 0.324 0.686 0.312
Sm 0.324 0.314 0.188
Th 0.548 0.000 0.250
Th 0.452 0.000 0.750

Values from the calculation:
Spin magnetization (μB/f.u.): 0.00
V (Å³/atom): 36.2
Energy of formation from the pure elements (meV per atom): 288.3

No. 7
LaPm5Sm2Th: optimized geometry, PBE.

a = 5.763 Å, b = 10.581 Å, c = 10.652 Å
α = 90.00°, β = 90.00°, γ = 105.80°
Atoms (fractional coordinates):
La 0.586 0.172 0.947
La 0.414 0.828 0.447
Pm 0.386 0.773 0.026
Pm 0.723 0.446 0.817
Pm 0.479 0.958 0.739
Pm 0.294 0.588 0.705
Pm 0.984 0.968 0.525
Pm 0.614 0.227 0.526
Pm 0.277 0.554 0.317
Pm 0.521 0.042 0.239
Pm 0.706 0.412 0.205
Pm 0.016 0.032 0.025
Sm 0.885 0.769 0.820
Sm 0.115 0.229 0.731
Sm 0.115 0.231 0.320
Sm 0.885 0.771 0.231
Th 0.800 0.600 0.513
Th 0.200 0.400 0.013

Values from the calculation:
Spin magnetization (μB/f.u.): 0.00
V (Å³/atom): 34.7
Energy of formation from the pure elements (meV per atom): 155.3

No. 8
La2PmSm4Th: optimized geometry, PBE.

a = 3.658 Å, b = 6.345 Å, c = 12.032 Å
α = 79.87°, β = 90.00°, γ = 90.00°
Atoms (fractional coordinates):
La 0.000 0.000 0.000
La 0.500 0.000 0.500
Pm 0.500 0.500 0.000
Sm 0.000 0.745 0.749
Sm 0.000 0.255 0.251
Sm 0.500 0.743 0.257
Sm 0.500 0.257 0.743
Th 0.000 0.500 0.500

Values from the calculation:
Spin magnetization (μB/f.u.): 0.00
V (Å³/atom): 34.4
Energy of formation from the pure elements (meV per atom): 25.7